Entry 1:
Compound: LiAgRuO4
Source: Alexandria
Functional: PBE-GGA
Structure: optimized geometry

Cell lengths 5.5930, 5.9314, 6.3997 Å; angles 90.00, 90.93, 90.00 degrees
Last column: nearest neighbours and their distance in Å.
Fractional positions:
Li  0.1267  0.2500  0.4856  3 O 1.96-2.08
Li  0.8733  0.7500  0.5144  3 O 1.96-2.08
Ag  0.1336  0.2500  0.0071  3 O 2.31-2.43
Ag  0.8664  0.7500  0.9929  3 O 2.31-2.43
Ru  0.3189  0.7500  0.2635  4 O 1.75-1.86
Ru  0.6811  0.2500  0.7365  4 O 1.75-1.86
O  0.0911  0.5242  0.2857  1 Ru 1.86, 1 Li 2.08
O  0.0911  0.9758  0.2857  1 Ru 1.86, 1 Li 2.08
O  0.4547  0.7500  0.0152  1 Ru 1.77
O  0.4742  0.2500  0.5277  1 Ru 1.75, 1 Li 1.96
O  0.5258  0.7500  0.4723  1 Ru 1.75, 1 Li 1.96
O  0.5453  0.2500  0.9848  1 Ru 1.77
O  0.9089  0.0242  0.7143  1 Ru 1.86, 1 Li 2.08
O  0.9089  0.4758  0.7143  1 Ru 1.86, 1 Li 2.08

## Properties
space group	P2_1/m

Entry 2:
Compound: LiAg2SbO4
Source: Alexandria
Functional: PBE-GGA
Structure: optimized geometry

Cell lengths 5.8166, 5.8166, 5.8166 Å; angles 126.98, 126.98, 78.28 degrees
Last column: nearest neighbours and their distance in Å.
Fractional positions:
Li  0.0000  0.0000  0.0000  4 O 1.99
Ag  0.2500  0.7500  0.5000  4 O 2.40
Ag  0.5000  0.5000  0.0000  4 O 2.39
Sb  0.7500  0.2500  0.5000  4 O 1.92
O  0.0515  0.1291  0.4352  1 Sb 1.92, 1 Li 1.99
O  0.3837  0.9485  0.0776  1 Sb 1.92, 1 Li 1.99
O  0.6939  0.6163  0.5648  1 Sb 1.92, 1 Li 1.99
O  0.8709  0.3061  0.9224  1 Sb 1.92, 1 Li 1.99

## Properties
space group	I-4

Computed uncorrected formation energy (kcal/mol of atoms) in order:
-18.31 -22.07